No. 1
First-principles (PBE) data for crystalline MnTlAg2 at its relaxed geometry, as listed in the Alexandria database.

The calculation puts the raw total energy at -4.035 eV per atom. For the energy above the most stable polymorph in this dataset, the calculation gives 0.0298 eV/atom. As for the density of states at the Fermi level: 0.49 states/eV per atom.

It has space group P4mm (No. 99), with a = 3.3811 Å, b = 3.3811 Å, c = 6.7691 Å, α = 90.00°, β = 90.00° and γ = 90.00°. Symmetry generates all atoms from Mn at (0.0000, 0.0000, 0.0000), Tl at (0.5000, 0.5000, 0.2674), Ag at (0.0000, 0.0000, 0.5544) and Ag at (0.5000, 0.5000, 0.7904).



No. 2
First-principles (PBE) data for crystalline RbTaIn2Br8 at its relaxed geometry, as listed in the Alexandria database.

The calculation puts the raw total energy at -3.607 eV per atom. The formation energy (no corrections) comes out at -0.967 eV/atom.

It has space group P-1 (No. 2), with a = 6.7468 Å, b = 8.0519 Å, c = 9.5642 Å, α = 90.14°, β = 90.10° and γ = 111.35°. Symmetry generates all atoms from Rb at (0.0000, 0.0000, 0.0000), Ta at (0.0000, 0.0000, 0.5000), In at (0.0044, 0.5012, 0.2349), Br at (0.2286, 0.8124, 0.5025), Br at (0.2344, 0.2063, 0.6881), Br at (0.2373, 0.2034, 0.3134) and Br at (0.2688, 0.7085, 0.9984).



No. 3
First-principles (PBE) data for crystalline NiSnSb2I at its relaxed geometry, as listed in the Alexandria database.

The calculation puts the raw total energy at -2.722 eV per atom. The formation energy (no corrections) comes out at 1.194 eV/atom. For the energy above the most stable polymorph in this dataset, the calculation gives 0.8880 eV/atom. As for the density of states at the Fermi level: 2.56 states/eV per atom.

It has space group P4/mmm (No. 123), with a = 5.6945 Å, b = 5.6945 Å, c = 5.8652 Å, α = 90.00°, β = 90.00° and γ = 90.00°. Symmetry generates all atoms from Ni at (0.0000, 0.0000, 0.0000), Sn at (0.5000, 0.5000, 0.5000), Sb at (0.0000, 0.5000, 0.5000) and I at (0.5000, 0.5000, 0.0000).



No. 4
First-principles (PBE) data for crystalline Ti3Al3C at its relaxed geometry, as listed in the Alexandria database.

The calculation puts the raw total energy at -6.781 eV per atom. As for the density of states at the Fermi level: 0.73 states/eV per atom.

It has space group Fd-3m (No. 227, origin choice 2), with a = 11.7554 Å, b = 11.7554 Å, c = 11.7554 Å, α = 90.00°, β = 90.00° and γ = 90.00°. Symmetry generates all atoms from Ti at (0.0551, 0.3750, 0.3750), Al at (0.0000, 0.0000, 0.5000), Al at (0.0366, 0.0366, 0.7134) and C at (0.0000, 0.0000, 0.0000).



No. 5
First-principles (PBE) data for crystalline Sr5AcN4 at its relaxed geometry, as listed in the Alexandria database.

The calculation puts the raw total energy at -5.179 eV per atom. The formation energy (no corrections) comes out at -0.597 eV/atom. As for the density of states at the Fermi level: 0.47 states/eV per atom.

It has space group C2/m (No. 12), with a = 16.8810 Å, b = 3.8573 Å, c = 7.8970 Å, α = 90.00°, β = 101.49° and γ = 90.00°. Symmetry generates all atoms from Sr at (0.0000, 0.0000, 0.0000), Sr at (0.1539, 0.5000, 0.7922), Sr at (0.1691, 0.5000, 0.3667), Ac at (0.0000, 0.0000, 0.5000), N at (0.0003, 0.5000, 0.2515) and N at (0.1663, 0.0000, 0.5869).



No. 6
First-principles (PBE) data for crystalline Nd3N2 at its relaxed geometry, as listed in the Alexandria database.

The calculation puts the raw total energy at -7.262 eV per atom. The formation energy (no corrections) comes out at -1.071 eV/atom. As for the density of states at the Fermi level: 0.67 states/eV per atom.

It has space group C2/m (No. 12), with a = 6.3767 Å, b = 11.0046 Å, c = 6.4408 Å, α = 90.00°, β = 109.70° and γ = 90.00°. Symmetry generates all atoms from Nd at (0.2299, 0.0000, 0.2422), Nd at (0.2467, 0.1582, 0.7703), N at (0.0000, 0.0000, 0.5000), N at (0.0000, 0.1613, 0.0000) and N at (0.0000, 0.5000, 0.0000).



| no. | total magnetization (μB per atom) |
| --- | --- |
| 1 | 1.019 |
| 2 | 0.000 |
| 3 | 0.238 |
| 4 | 0.000 |
| 5 | 0.000 |
| 6 | 0.113 |